# Sc2B2Ir5W GGA-PBE relaxed
# Electronic total energy ... -179.56 eV/cell
# Energy relative to the elements ... -0.651 eV per atom
data_Sc2B2Ir5W
_space_group_name_H-M_alt 'P 4/m b m'
_space_group_IT_number 127
_space_group_name_Hall '-P 4 2ab'
_cell_length_a 9.3657
_cell_length_b 9.3657
_cell_length_c 3.2115
_cell_angle_alpha 90.00
_cell_angle_beta 90.00
_cell_angle_gamma 90.00
loop_
_atom_site_label
_atom_site_fract_x
_atom_site_fract_y
_atom_site_fract_z
Sc1 0.1769 0.3231 0.0000
B1 0.1196 0.6196 0.0000
Ir1 0.0000 0.5000 0.5000
Ir2 0.0718 0.7792 0.5000
W1 0.0000 0.0000 0.0000